# 1
## ZnCd2Mo (PBE-GGA)

Data for a relaxed structure of ZnCd2Mo.

Results
The density of states at the Fermi level is 1.40 states/eV/f.u. For the energy, the calculation gives -13.02 eV/cell. The crystal system is orthorhombic. The formation energy is 0.23 eV per atom. Its space-group type is Cmm2, No. 35.

a b c (Å): 2.837 2.837 9.166
angles (deg): 90.00 90.00 100.97
Atoms (fractional coordinates):
Zn: 0.000 0.000 0.000
Cd: 0.000 0.000 0.535
Cd: 0.500 0.500 0.251
Mo: 0.500 0.500 0.785

***

# 2
## Zn2CdMo (PBE-GGA)

Data for a relaxed structure of Zn2CdMo.

Results
The density of states at the Fermi level is 2.29 states/eV/f.u. For the energy, the calculation gives -13.38 eV/cell. The crystal system is orthorhombic. The formation energy is 0.23 eV per atom. Its space-group type is Pmmm, No. 47.

a b c (Å): 2.822 3.883 6.008
angles (deg): 90.00 90.00 90.00
Atoms (fractional coordinates):
Zn: 0.000 0.000 0.224
Zn: 0.000 0.000 0.776
Cd: 0.500 0.500 0.500
Mo: 0.500 0.500 0.000

***

# 3
## ZnCd2Mo (PBE-GGA)

Data for a relaxed structure of ZnCd2Mo.

Results
The density of states at the Fermi level is 1.82 states/eV/f.u. For the energy, the calculation gives -12.48 eV/cell. The crystal system is monoclinic. The formation energy is 0.36 eV per atom. Its space-group type is C2/m, No. 12.

a b c (Å): 5.298 5.298 5.075
angles (deg): 104.31 104.31 31.31
Atoms (fractional coordinates):
Zn: 0.000 0.000 0.000
Cd: 0.259 0.259 0.751
Cd: 0.741 0.741 0.249
Mo: 0.500 0.500 0.500

***

# 4
## ZnCd3Mo (PBE-GGA)

Data for a relaxed structure of ZnCd3Mo.

Results
The density of states at the Fermi level is 3.51 states/eV/f.u. For the energy, the calculation gives -9.59 eV/cell. The crystal system is cubic. The formation energy is 1.05 eV per atom. Its space-group type is Pm-3m, No. 221.

a b c (Å): 5.521 5.521 5.521
angles (deg): 90.00 90.00 90.00
Atoms (fractional coordinates):
Zn: 0.000 0.000 0.000
Cd: 0.000 0.500 0.500
Cd: 0.500 0.000 0.500
Cd: 0.500 0.500 0.000
Mo: 0.500 0.500 0.500

***

# 5
## ZnCdMo2 (PBE-GGA)

Data for a relaxed structure of ZnCdMo2.

Results
The density of states at the Fermi level is 3.46 states/eV/f.u. For the energy, the calculation gives -22.97 eV/cell. The crystal system is tetragonal. The formation energy is 0.22 eV per atom. Its space-group type is P4mm, No. 99.

a b c (Å): 3.277 3.277 6.383
angles (deg): 90.00 90.00 90.00
Atoms (fractional coordinates):
Zn: 0.000 0.000 0.000
Cd: 0.500 0.500 0.255
Mo: 0.000 0.000 0.562
Mo: 0.500 0.500 0.747

***

# 6
## ZnCd2Mo (PBE-GGA)

Data for a relaxed structure of ZnCd2Mo.

Results
The density of states at the Fermi level is 2.64 states/eV/f.u. For the energy, the calculation gives -12.42 eV/cell. The crystal system is orthorhombic. The formation energy is 0.38 eV per atom. Its space-group type is Imm2, No. 44.

a b c (Å): 5.743 5.743 5.743
angles (deg): 150.32 128.30 60.75
Atoms (fractional coordinates):
Zn: 0.000 0.000 0.000
Cd: 0.249 0.749 0.500
Cd: 0.516 0.516 0.000
Mo: 0.775 0.275 0.500

***

# 7
## Zn2CdMo (PBE-GGA)

Data for a relaxed structure of Zn2CdMo.

Results
The density of states at the Fermi level is 1.30 states/eV/f.u. For the energy, the calculation gives -13.54 eV/cell. The crystal system is monoclinic. The formation energy is 0.19 eV per atom. Its space-group type is P2/m, No. 10.

a b c (Å): 4.991 2.791 5.190
angles (deg): 90.00 114.19 90.00
Atoms (fractional coordinates):
Zn: 0.000 0.000 0.000
Zn: 0.000 0.500 0.500
Cd: 0.500 0.000 0.500
Mo: 0.500 0.500 0.000

***

# 8
## Zn2CdMo2 (PBE-GGA)

Data for a relaxed structure of Zn2CdMo2.

Results
The density of states at the Fermi level is 2.74 states/eV/f.u. For the energy, the calculation gives -46.68 eV/cell. The crystal system is tetragonal. The formation energy is 0.36 eV per atom. Its space-group type is P4/mbm, No. 127.

a b c (Å): 7.537 7.537 3.007
angles (deg): 90.00 90.00 90.00
Atoms (fractional coordinates):
Zn: 0.179 0.321 0.000
Zn: 0.321 0.821 0.000
Zn: 0.679 0.179 0.000
Zn: 0.821 0.679 0.000
Cd: 0.000 0.000 0.000
Cd: 0.500 0.500 0.000
Mo: 0.112 0.612 0.500
Mo: 0.388 0.112 0.500
Mo: 0.612 0.888 0.500
Mo: 0.888 0.388 0.500

***

The highest energy belongs to which entry? ZnCd3Mo